# 1
16
Lattice="9.5639 0.0000 0.0000 -4.7820 8.2826 0.0000 0.0000 0.0000 6.1206" Properties=species:S:1:pos:R:3 comment="In10Bi3Pb3, optimized geometry, DFT GGA-PBE" magmom_total_mub_per_atom=0.000 final_energy_ev_per_atom=-3.0713 space_group="No. 189" formation_enthalpy_0k_kj_per_mol_fu=98 pbc="T T T"
In -0.9977 1.7281 0.0000
In -3.7793 6.5459 3.0603
In 1.9954 0.0000 0.0000
In 1.0027 1.7367 3.0603
In 0.0000 5.5218 1.5354
In 0.0000 5.5218 4.5852
In 4.7820 2.7609 1.5354
In 4.7820 2.7609 4.5852
In 7.5586 0.0000 3.0603
In 3.7843 6.5545 0.0000
Bi -2.8293 4.9004 0.0000
Bi 1.9527 3.3822 0.0000
Bi 5.6585 0.0000 0.0000
Pb -1.9031 3.2962 3.0603
Pb 3.8061 0.0000 3.0603
Pb 2.8789 4.9864 3.0603



# 2
10
Lattice="7.4967 0.0000 0.0000 0.0000 7.4967 0.0000 0.0000 0.0000 3.5127" Properties=species:S:1:pos:R:3 comment="Si2SnGe2, optimized geometry, DFT GGA-PBE" magmom_total_mub_per_atom=0.000 final_energy_ev_per_atom=-4.4423 space_group="No. 127" raw_formation_energy_ev_per_atom=0.37 polymorph_energy_kj_per_mol_atoms=8.5 pbc="T T T"
Si 0.9416 2.8068 0.0000
Si 2.8068 6.5551 0.0000
Si 4.6899 0.9416 0.0000
Si 6.5551 4.6899 0.0000
Sn 0.0000 0.0000 0.0000
Sn 3.7483 3.7483 0.0000
Ge 1.1180 4.8664 1.7564
Ge 2.6303 1.1180 1.7564
Ge 4.8664 6.3787 1.7564
Ge 6.3787 2.6303 1.7564



# 3
5
Lattice="5.0407 0.0000 0.0000 0.0000 5.0407 0.0000 0.0000 0.0000 4.8844" Properties=species:S:1:pos:R:3 comment="YZrZn2P, optimized geometry, DFT GGA-PBE" magmom_total_mub_per_atom=0.000 final_energy_ev_per_atom=-4.4835 space_group="No. 123" formation_enthalpy_0k_kj_per_mol_fu=53 pbc="T T T"
Y 0.0000 0.0000 0.0000
Zr 2.5203 2.5203 2.4422
Zn 0.0000 2.5203 2.4422
Zn 2.5203 0.0000 2.4422
P 2.5203 2.5203 0.0000



# 4
10
Lattice="4.0020 0.0000 0.0000 0.0000 4.0576 0.0000 0.0000 0.0000 11.2706" Properties=species:S:1:pos:R:3 comment="LaZnCu2Ir, optimized geometry, DFT GGA-PBE" magmom_total_mub_per_atom=0.000 final_energy_ev_per_atom=-4.9514 space_group="No. 44" formation_enthalpy_0k_kj_per_mol_fu=-145 pbc="T T T"
La 0.0000 0.0000 0.0000
La 2.0010 2.0288 5.6353
Zn 0.0000 2.0288 8.5561
Zn 2.0010 0.0000 2.9208
Cu 0.0000 0.0000 7.1075
Cu 0.0000 2.0288 2.9552
Cu 2.0010 0.0000 8.5905
Cu 2.0010 2.0288 1.4722
Ir 0.0000 0.0000 4.6048
Ir 2.0010 2.0288 10.2401



# 5
20
Lattice="12.2963 0.0000 0.0000 0.0000 4.0949 0.0000 -3.3923 0.0000 12.5351" Properties=species:S:1:pos:R:3 comment="Sm6ZnTe3, optimized geometry, DFT GGA-PBE" magmom_total_mub_per_atom=0.000 final_energy_ev_per_atom=-4.6899 space_group="No. 11" raw_formation_energy_ev_per_atom=-0.79 pbc="T T T"
Sm -1.0745 1.0237 4.4135
Sm -1.8992 1.0237 11.2528
Sm 2.1138 3.0712 3.7345
Sm 1.1129 3.0712 9.4508
Sm 2.9779 1.0237 6.7567
Sm 4.8748 3.0712 1.5574
Sm 4.0292 1.0237 10.9778
Sm 5.9261 3.0712 5.7784
Sm 7.7911 1.0237 3.0844
Sm 6.7903 1.0237 8.8006
Sm 10.8033 3.0712 1.2823
Sm 9.9786 3.0712 8.1217
Zn 4.5912 1.0237 3.9043
Zn 4.3129 3.0712 8.6308
Te 0.7864 1.0237 1.7960
Te 0.4006 3.0712 6.3865
Te 1.0953 1.0237 11.8066
Te 7.8087 3.0712 0.7285
Te 8.5034 1.0237 6.1486
Te 8.1176 3.0712 10.7392



# 6
8
Lattice="2.8413 0.0000 0.0000 0.0000 4.3109 0.0000 0.0000 0.0000 8.8122" Properties=species:S:1:pos:R:3 comment="POsRu2, optimized geometry, DFT GGA-PBE" magmom_total_mub_per_atom=0.000 final_energy_ev_per_atom=-8.8824 space_group="No. 44" formation_enthalpy_0k_kj_per_mol_fu=-33 pbc="T T T"
P 0.0000 0.0000 0.0000
P 1.4206 2.1555 4.4061
Os 0.0000 2.1555 6.2875
Os 1.4206 0.0000 1.8814
Ru 0.0000 0.0000 4.3857
Ru 0.0000 2.1555 2.5390
Ru 1.4206 0.0000 6.9451
Ru 1.4206 2.1555 8.7918